Record 1
Compound: PuSb
Source: OQMD via LeMat-Bulk
Functional: PBE-GGA
Structure: optimized geometry

Unit cell a=3.7851 b=3.7851 c=3.7851 alpha=90.00 beta=90.00 gamma=90.00
Space group Pm-3m (No. 221)
Asymmetric unit:
Pu 0.0000 0.0000 0.0000
Sb 0.5000 0.5000 0.5000

E_tot, eV per atom: -9.759

=====

Record 2
Compound: BaTePtO
Source: OQMD via LeMat-Bulk
Functional: PBE-GGA
Structure: optimized geometry

Unit cell a=7.3165 b=8.4964 c=6.4192 alpha=90.00 beta=90.00 gamma=90.00
Space group Pca2_1 (No. 29)
Asymmetric unit:
Ba 0.0724 0.1507 0.0000
Te 0.1750 0.5257 0.7017
Pt 0.0800 0.7035 0.0184
O 0.0834 0.1088 0.5929

E_tot, eV per atom: -5.221
E above lowest polymorph, meV/atom: 0

=====

Record 3
Compound: TbSmSi2Pt
Source: OQMD via LeMat-Bulk
Functional: PBE-GGA
Structure: optimized geometry

Unit cell a=10.4517 b=4.3276 c=10.3255 alpha=90.00 beta=117.93 gamma=90.00
Space group C2/m (No. 12)
Asymmetric unit:
Tb 0.0091 0.0000 0.3275
Sm 0.1911 0.0000 0.1089
Si 0.0132 0.5000 0.8854
Si 0.1415 0.5000 0.5559
Pt 0.2291 0.5000 0.3459

E_tot, eV per atom: -6.260

=====

Record 4
Compound: Te2Au
Source: OQMD via LeMat-Bulk
Functional: PBE-GGA
Structure: optimized geometry

Unit cell a=7.3196 b=4.2409 c=5.1561 alpha=90.00 beta=90.24 gamma=90.00
Space group C2/m (No. 12)
Asymmetric unit:
Te 0.1847 0.0000 0.2089
Au 0.0000 0.5000 0.5000

E_tot, eV per atom: -3.255

=====

Record 5
Compound: Zr3BiN2
Source: OQMD via LeMat-Bulk
Functional: PBE-GGA
Structure: optimized geometry

Unit cell a=3.3230 b=3.3230 c=20.1870 alpha=90.00 beta=90.00 gamma=120.00
Space group P6_3/mmc (No. 194)
Asymmetric unit:
Zr 0.0000 0.0000 0.0000
Zr 0.3333 0.6667 0.1272
Bi 0.0000 0.0000 0.2500
N 0.3333 0.6667 0.5649

E_tot, eV per atom: -8.867

=====

Record 6
Compound: TbGdIn4Ni2
Source: OQMD via LeMat-Bulk
Functional: PBE-GGA
Structure: optimized geometry

Unit cell a=7.3962 b=4.3495 c=10.4917 alpha=90.00 beta=90.00 gamma=90.00
Space group Amm2 (No. 38)
Asymmetric unit:
Tb 0.0000 0.0000 0.0000
Gd 0.5000 0.0000 0.8619
In 0.1998 0.0000 0.2877
In 0.2994 0.0000 0.5740
Ni 0.0000 0.0000 0.7176
Ni 0.5000 0.0000 0.1446

E_tot, eV per atom: -4.367

=====

Record 7
Compound: BaCuSn
Source: OQMD via LeMat-Bulk
Functional: PBE-GGA
Structure: optimized geometry

Unit cell a=7.1661 b=7.1661 c=7.1661 alpha=90.00 beta=90.00 gamma=90.00
Space group F-43m (No. 216)
Asymmetric unit:
Ba 0.0000 0.0000 0.0000
Cu 0.2500 0.2500 0.2500
Sn 0.0000 0.0000 0.5000

E_tot, eV per atom: -3.355

=====

Record 8
Compound: ZrHgW
Source: OQMD via LeMat-Bulk
Functional: PBE-GGA
Structure: optimized geometry

Unit cell a=6.4678 b=6.4678 c=6.4678 alpha=90.00 beta=90.00 gamma=90.00
Space group F-43m (No. 216)
Asymmetric unit:
Zr 0.0000 0.0000 0.0000
Hg 0.2500 0.2500 0.7500
W 0.0000 0.0000 0.5000

E_tot, eV per atom: -6.196
Formation energy from the elements, kJ/mol of formula units: 310

=====

Record 9
Compound: BeNbRe
Source: OQMD via LeMat-Bulk
Functional: PBE-GGA
Structure: optimized geometry

Unit cell a=5.6160 b=5.6160 c=5.6160 alpha=90.00 beta=90.00 gamma=90.00
Space group F-43m (No. 216)
Asymmetric unit:
Be 0.0000 0.0000 0.0000
Nb 0.2500 0.2500 0.7500
Re 0.2500 0.2500 0.2500

E_tot, eV per atom: -8.394
E above lowest polymorph, meV/atom: 0

=====

Record 10
Compound: Pr3Sn2Pt3Pb
Source: OQMD via LeMat-Bulk
Functional: PBE-GGA
Structure: optimized geometry

Unit cell a=4.1742 b=13.3210 c=7.7711 alpha=90.00 beta=90.00 gamma=90.00
Space group Amm2 (No. 38)
Asymmetric unit:
Pr 0.0000 0.0000 0.0000
Pr 0.0000 0.2060 0.3848
Sn 0.5000 0.1262 0.7166
Pt 0.0000 0.0000 0.6023
Pt 0.5000 0.1707 0.0820
Pb 0.5000 0.0000 0.3357

E_tot, eV per atom: -5.884

=====

Record 11
Compound: Cs2PaW3
Source: OQMD via LeMat-Bulk
Functional: PBE-GGA
Structure: optimized geometry

Unit cell a=5.4605 b=5.4605 c=5.6965 alpha=90.00 beta=90.00 gamma=120.00
Space group P-3m1 (No. 164)
Asymmetric unit:
Cs 0.3333 0.6667 0.4952
Pa 0.0000 0.0000 0.5000
W 0.0000 0.5000 0.0000

E_tot, eV per atom: -5.867

=====

Record 12
Compound: ZnCo2W
Source: OQMD via LeMat-Bulk
Functional: PBE-GGA
Structure: optimized geometry

Unit cell a=5.8616 b=5.8616 c=5.8616 alpha=90.00 beta=90.00 gamma=90.00
Space group F-43m (No. 216)
Asymmetric unit:
Zn 0.0000 0.0000 0.0000
Co 0.0000 0.0000 0.5000
Co 0.2500 0.2500 0.7500
W 0.2500 0.2500 0.2500

E_tot, eV per atom: -6.794
Formation energy from the elements, kJ/mol of formula units: 122